(1)
LiDySO | PBE-GGA | relaxed

Results
* E: -6.3517 eV per atom
* total magnetic moment: 0.00 μB per cell
* DOS(E_F): 0.0000 states/eV/atom
* space group: P4/nmm, No. 129

```
LiDySO
1.0
3.838 0.000 0.000
0.000 3.838 0.000
0.000 0.000 8.597
Li S O Dy
2 2 2 2
direct
0.500 0.500 0.000
0.000 0.000 0.000
0.500 0.000 0.173
0.000 0.500 0.827
0.500 0.500 0.500
0.000 0.000 0.500
0.000 0.500 0.368
0.500 0.000 0.632
```



(2)
LaPt2Au3 | PBE-GGA | relaxed

Results
* formation enthalpy at 0 K: -0.37 eV/atom
* E: -4.8394 eV per atom
* total magnetic moment: 0.00 μB per cell
* DOS(E_F): 0.6222 states/eV/atom
* space group: R-3m, No. 166

```
LaPt2Au3
1.0
-3.862 3.119 3.645
-5.863 -1.808 0.538
-1.434 -3.780 6.917
Au Pt La
6 4 2
direct
0.234 0.722 0.322
0.722 0.722 0.322
0.278 0.278 0.678
0.278 0.766 0.678
0.766 0.278 0.678
0.722 0.234 0.322
0.500 0.500 0.000
0.500 0.000 0.000
0.000 0.000 0.000
0.000 0.500 0.000
0.228 0.228 0.316
0.772 0.772 0.684
```



(3)
AlSb2O | PBE-GGA | relaxed

Results
* E: -4.1069 eV per atom
* energy above the lowest structure with this stoichiometry: 1.026 eV/f.u.
* total magnetic moment: 0.00 μB per cell
* DOS(E_F): 0.4307 states/eV/atom
* space group: Fm-3m, No. 225

```
AlSb2O
1.0
0.000 3.328 3.328
3.328 0.000 3.328
3.328 3.328 0.000
Sb Al O
2 1 1
direct
0.750 0.750 0.750
0.250 0.250 0.250
0.500 0.500 0.500
0.000 0.000 0.000
```



(4)
Cd5Ga4 | PBE-GGA | relaxed

Results
* formation enthalpy at 0 K: 0.05 eV/atom
* E: -1.8073 eV per atom
* total magnetic moment: 0.00 μB per cell
* DOS(E_F): 0.4233 states/eV/atom
* space group: I4/mmm, No. 139

```
Cd5Ga4
1.0
-3.603 -1.570 -2.153
-4.589 -2.228 4.640
-4.498 5.150 -0.893
Cd Ga
5 4
direct
0.000 0.000 0.000
0.669 0.000 0.663
0.669 0.663 0.000
0.331 0.337 0.000
0.331 0.000 0.337
0.000 0.342 0.658
0.342 0.658 0.658
0.000 0.658 0.342
0.658 0.342 0.342
```



(5)
ZnSb | PBE-GGA | relaxed

Results
* E: -2.5953 eV per atom
* total magnetic moment: 0.00 μB per cell
* DOS(E_F): 0.5677 states/eV/atom
* space group: Immm, No. 71

```
ZnSb
1.0
-2.758 2.389 -3.318
1.632 -1.469 -2.414
-3.689 -4.185 0.053
Sb Zn
2 2
direct
0.250 0.750 0.250
0.750 0.250 0.750
0.250 0.749 0.750
0.750 0.251 0.250
```



(6)
Al2Bi2Pb | PBE-GGA | relaxed

Results
* formation enthalpy at 0 K: 0.18 eV/atom
* E: -3.6130 eV per atom
* energy above the lowest structure with this stoichiometry: 0.000 eV/f.u.
* total magnetic moment: 0.00 μB per cell
* DOS(E_F): 0.6006 states/eV/atom
* space group: I4/mmm, No. 139

```
Al2Bi2Pb
1.0
-1.622 -3.655 -1.402
-0.773 -1.189 3.993
-8.322 0.891 0.902
Bi Al Pb
2 2 1
direct
0.618 0.618 0.764
0.382 0.382 0.236
0.250 0.750 0.500
0.750 0.250 0.500
0.000 0.000 0.000
```



(7)
LiEr7In4 | PBE-GGA | relaxed

Results
* formation enthalpy at 0 K: -0.07 eV/atom
* E: -3.8040 eV per atom
* total magnetic moment: 0.13 μB per cell
* DOS(E_F): 1.0097 states/eV/atom
* space group: C2/m, No. 12

```
LiEr7In4
1.0
5.477 0.000 0.000
2.739 8.844 0.037
2.739 0.387 7.183
Li In Er
1 4 7
direct
0.000 0.000 0.000
0.566 0.221 0.646
0.699 0.663 0.938
0.434 0.779 0.354
0.301 0.337 0.062
0.500 0.000 0.000
0.219 0.130 0.431
0.661 0.402 0.276
0.070 0.665 0.195
0.339 0.598 0.724
0.930 0.335 0.805
0.781 0.870 0.569
```



(8)
Ca3SmTh2P6 | PBE-GGA | relaxed

Results
* formation enthalpy at 0 K: -1.32 eV/atom
* E: -6.1559 eV per atom
* total magnetic moment: 0.00 μB per cell
* DOS(E_F): 0.8616 states/eV/atom
* space group: C2/m, No. 12

```
Ca3SmTh2P6
1.0
7.241 -0.002 0.000
-3.620 6.271 0.000
-1.208 -2.091 6.713
Sm Ca P Th
1 3 6 2
direct
0.000 0.000 0.000
0.166 0.834 0.500
0.500 0.500 0.500
0.834 0.166 0.500
0.080 0.415 0.240
0.745 0.745 0.240
0.415 0.080 0.240
0.585 0.920 0.760
0.920 0.585 0.760
0.255 0.255 0.760
0.333 0.667 0.000
0.667 0.333 0.000
```